VASP calculation (GGA-PBE) on a relaxed structure of W2AuCl.

Cell: 9.9375 9.9375 9.9375 Å, 16.85 16.85 16.85°
Closest atoms and distances in Å follow each position.
Fractional coordinates of all 4 atoms:
W (0.0000, 0.0000, 0.0000)  3 Cl 2.50
W (0.2537, 0.2537, 0.2537)  3 Au 2.87, 9 W 2.88-2.91
Au (0.5077, 0.5077, 0.5077)  3 W 2.87, 6 Au 2.91
Cl (0.7298, 0.7298, 0.7298)  3 W 2.50

ΔE to the lowest computed polymorph: 0.0 meV/atom
E_tot: -7.439 eV/atom
formation energy from raw total energies: 31 kJ/mol of atoms
SG: R3m

VASP calculation (GGA-PBE) on a relaxed structure of WAu2Cl.

Cell: 9.9503 9.9503 9.9503 Å, 17.38 17.38 17.38°
Closest atoms and distances in Å follow each position.
Fractional coordinates of all 4 atoms:
W (0.0000, 0.0000, 0.0000)  3 Cl 2.48
Au (0.2585, 0.2585, 0.2585)  3 W 2.80, 9 Au 2.91-3.01
Au (0.5125, 0.5125, 0.5125)  9 Au 2.91-3.01
Cl (0.7269, 0.7269, 0.7269)  3 W 2.48

ΔE to the lowest computed polymorph: 0.0 meV/atom
E_tot: -5.195 eV/atom
formation energy from raw total energies: 14 kJ/mol of atoms
SG: R3m

VASP calculation (GGA-PBE) on a relaxed structure of WAu2Cl.

Cell: 5.4269 5.4269 2.8311 Å, 90.00 90.00 121.51°
Closest atoms and distances in Å follow each position.
Fractional coordinates of all 4 atoms:
W (0.0000, 0.0000, 0.0000)  2 Cl 2.65, 2 W 2.83
Au (0.0000, 0.5000, 0.5000)  4 Au 2.65-2.83
Au (0.5000, 0.0000, 0.5000)  4 Au 2.65-2.83
Cl (0.5000, 0.5000, 0.0000)  2 W 2.65, 2 Cl 2.83

ΔE to the lowest computed polymorph: 504.7 meV/atom
E_tot: -4.690 eV/atom
formation energy from raw total energies: 63 kJ/mol of atoms
SG: Cmmm

VASP calculation (GGA-PBE) on a relaxed structure of W2AuCl.

Cell: 4.4506 5.6033 5.6033 Å, 29.13 90.00 90.00°
Closest atoms and distances in Å follow each position.
Fractional coordinates of all 4 atoms:
W (0.0000, 0.0000, 0.0000)  2 Cl 2.54, 2 W 2.82
W (0.5000, 0.3909, 0.3909)  2 Cl 2.41
Au (0.5000, 0.6451, 0.6451)  7 W 2.76-3.07, 2 Au 2.82
Cl (0.0000, 0.3055, 0.3055)  4 W 2.41-2.54

ΔE to the lowest computed polymorph: 371.0 meV/atom
E_tot: -7.068 eV/atom
formation energy from raw total energies: 67 kJ/mol of atoms
SG: Amm2

Question: What is the formula in the third record?
Answer: WAu2Cl